This record from Alexandria describes a geometry-optimized Ta2TlPdPb structure. The functional is PBE.

Cell lengths 4.9933, 4.9933, 5.0674 Å; angles 90.00, 90.00, 90.00 degrees
Space group P4/mmm (No. 123)
Unique sites:
1 Ta 0.0000 0.5000 0.0000 x2
2 Tl 0.0000 0.0000 0.5000 x1
3 Pd 0.0000 0.0000 0.0000 x1
4 Pb 0.5000 0.5000 0.5000 x1

Properties
The calculation puts the density at 11564 kg/m3. For the final energy, the calculation gives -5.857 eV/atom. The calculation puts the calculated formation energy at 549 kJ/mol of formula units.